VASP calculation (GGA-PBEsol) on an optimized crystal structure of CaTaSe2.

Results
* mass density: 7.790 g/cm³
* E above lowest polymorph: 205 meV/atom
* raw formation energy: -0.729 eV/atom
* VASP energy: -6.326 eV per atom

Cell lengths 3.8121, 3.8121, 5.5583 Å; angles 90.00, 90.00, 90.00 degrees
Last column: nearest neighbours and their distance in Å.
Element x y z (fractional)
Se1 0.5000 0.5000 0.3412  2 Ca 2.73-2.83, 4 Ta 2.73
Se2 0.0000 0.0000 0.9063  2 Ta 2.70-2.86, 4 Ca 2.73
Ca1 0.5000 0.5000 0.8325  6 Se 2.73-2.83
Ta1 0.0000 0.0000 0.4200  6 Se 2.70-2.86

---

VASP calculation (GGA-PBEsol) on an optimized crystal structure of Fe5Co.

Results
* mass density: 8.577 g/cm³
* calculated formation energy: 0.4 kcal/mol of atoms
* VASP energy: -8.741 eV per atom

Cell lengths 3.9533, 3.9533, 4.8373 Å; angles 90.00, 90.00, 120.00 degrees
Last column: nearest neighbours and their distance in Å.
Element x y z (fractional)
Fe1 0.3333 0.6667 0.1663  5 Fe 2.41-2.43, 3 Co 2.42
Fe2 0.0000 0.0000 0.5000  6 Fe 2.42, 2 Co 2.42
Fe3 0.6667 0.3333 0.3350  8 Fe 2.41-2.43
Fe4 0.6667 0.3333 0.8337  5 Fe 2.41-2.43, 3 Co 2.42
Fe5 0.3333 0.6667 0.6650  8 Fe 2.41-2.43
Co1 0.0000 0.0000 0.0000  8 Fe 2.42

---

VASP calculation (GGA-PBEsol) on an optimized crystal structure of Zr2ScIn.

Results
* mass density: 6.607 g/cm³
* calculated formation energy: -6.5 kcal/mol of atoms
* VASP energy: -7.225 eV per atom

Cell lengths 4.3151, 4.3151, 5.5359 Å; angles 112.94, 112.94, 90.00 degrees
Last column: nearest neighbours and their distance in Å.
Element x y z (fractional)
In1 0.5000 0.5000 0.0000  4 Sc 3.05, 8 Zr 3.16
Zr1 0.2500 0.7500 0.5000  4 Zr 3.05, 4 In 3.16, 4 Sc 3.16
Zr2 0.7500 0.2500 0.5000  4 Zr 3.05, 4 In 3.16, 4 Sc 3.16
Sc1 0.0000 0.0000 0.0000  4 In 3.05, 8 Zr 3.16

---

VASP calculation (GGA-PBEsol) on an optimized crystal structure of Re2NiOs.

Results
* mass density: 19.153 g/cm³
* calculated formation energy: -1.4 kcal/mol of atoms
* E above lowest polymorph: 0 meV/atom
* VASP energy: -11.320 eV per atom

Cell lengths 2.7158, 4.2586, 4.6576 Å; angles 90.00, 90.00, 90.00 degrees
Last column: nearest neighbours and their distance in Å.
Element x y z (fractional)
Re1 0.0000 0.5000 0.6988  4 Ni 2.62, 4 Os 2.62-2.77, 4 Re 2.65-2.72
Re2 0.0000 0.0000 0.0370  4 Re 2.65-2.72, 4 Ni 2.66-2.74, 4 Os 2.66
Os1 0.5000 0.5000 0.2171  8 Re 2.62-2.77, 2 Ni 2.63, 2 Os 2.72
Ni1 0.5000 0.0000 0.5471  8 Re 2.62-2.74, 2 Os 2.63, 2 Ni 2.72

---

Q: Which formula does entry 2 have?
A: Fe5Co

---

Repeat the first record exactly.
VASP calculation (GGA-PBEsol) on an optimized crystal structure of CaTaSe2.

Results
* mass density: 7.790 g/cm³
* E above lowest polymorph: 205 meV/atom
* raw formation energy: -0.729 eV/atom
* VASP energy: -6.326 eV per atom

Cell lengths 3.8121, 3.8121, 5.5583 Å; angles 90.00, 90.00, 90.00 degrees
Last column: nearest neighbours and their distance in Å.
Element x y z (fractional)
Se1 0.5000 0.5000 0.3412  2 Ca 2.73-2.83, 4 Ta 2.73
Se2 0.0000 0.0000 0.9063  2 Ta 2.70-2.86, 4 Ca 2.73
Ca1 0.5000 0.5000 0.8325  6 Se 2.73-2.83
Ta1 0.0000 0.0000 0.4200  6 Se 2.70-2.86

---

Q: mass density of number 1 (CaTaSe2)?
A: 7.790 g/cm³

---

Q: Which of these has the highest mass density?
A: Re2NiOs